Entry 1:
! PBE with a Hubbard U VNClF2, optimized geometry; values from VASP
! Total DFT energy (no corrections)   -4.861 eV/atom
! ΔE to the lowest computed polymorph   0 meV/atom
! Spin magnetization   0.0000 μB per atom
&SYSTEM
  ibrav = 0, nat = 5, ntyp = 4
/
ATOMIC_SPECIES
V 50.94 V.upf
N 14.01 N.upf
Cl 35.45 Cl.upf
F 19.00 F.upf
CELL_PARAMETERS angstrom
3.899 0.000 0.000
0.000 3.899 0.000
0.000 0.000 3.971
ATOMIC_POSITIONS crystal
V 0.000 0.000 0.000
N 0.000 0.000 0.500
Cl 0.500 0.500 0.500
F 0.000 0.500 0.000
F 0.500 0.000 0.000

=====

Entry 2:
! PBE with a Hubbard U VNClF2, optimized geometry; values from VASP
! Total DFT energy (no corrections)   -3.492 eV/atom
! ΔE to the lowest computed polymorph   1369 meV/atom
! Spin magnetization   0.2781 μB per atom
&SYSTEM
  ibrav = 0, nat = 5, ntyp = 4
/
ATOMIC_SPECIES
V 50.94 V.upf
N 14.01 N.upf
Cl 35.45 Cl.upf
F 19.00 F.upf
CELL_PARAMETERS angstrom
4.815 0.000 0.000
0.000 4.815 0.000
0.000 0.000 3.281
ATOMIC_POSITIONS crystal
V 0.000 0.000 0.000
N 0.500 0.500 0.000
Cl 0.500 0.500 0.500
F 0.000 0.500 0.500
F 0.500 0.000 0.500